{"formula": "PmMg2Sc6", "functional": "PBE-GGA", "state": "optimized geometry", "ef_kj_per_mol_fu": 110, "spacegroup": "P4/mmm", "m_tot_mub_per_cell": 0.010, "lattice": [[4.507, 0.000, 0.000], [0.000, 4.507, 0.000], [0.000, 0.000, 11.755]], "species": ["Sc", "Sc", "Sc", "Sc", "Sc", "Sc", "Pm", "Mg", "Mg"], "frac_coords": [[0.500, 0.000, 0.301], [0.000, 0.000, 0.500], [0.000, 0.500, 0.699], [0.500, 0.500, 0.500], [0.000, 0.500, 0.301], [0.500, 0.000, 0.699], [0.000, 0.000, 0.000], [0.500, 0.500, 0.879], [0.500, 0.500, 0.121]]}